Entry 1:
The following is a SCAN calculation of a PBEsol-optimized structure of Cd2Ga2Te, from Alexandria.

abc: 3.8771 3.8771 7.9505
angles: 104.11 104.11 90.00
Closest atoms and distances in Å follow each position.
Positions (direct):
Te  0.0000  0.0000  0.0000  8 Cd 3.13
Ga  0.7500  0.2500  0.5000  4 Ga 2.74, 4 Cd 2.95
Ga  0.2500  0.7500  0.5000  4 Ga 2.74, 4 Cd 2.95
Cd  0.6010  0.6010  0.2020  4 Ga 2.95, 1 Cd 3.01, 4 Te 3.13
Cd  0.3990  0.3990  0.7980  4 Ga 2.95, 1 Cd 3.01, 4 Te 3.13

Output
For the total DFT energy (no corrections), the calculation gives -26.07 eV per atom. The symmetry is No. 139. As for the magnetization: 0.0000 μB/atom. Its energy relative to the elements, uncorrected is 0.08 eV per atom.

***

Entry 2:
The following is a SCAN calculation of a PBEsol-optimized structure of CdGa2Te4, from Alexandria.

abc: 6.0899 6.0899 7.2996
angles: 114.65 114.65 90.00
Closest atoms and distances in Å follow each position.
Positions (direct):
Ga  0.5000  0.5000  0.0000  4 Te 2.63
Te  0.8944  0.4206  0.2803  2 Ga 2.63-2.64, 1 Cd 2.81
Te  0.5794  0.6140  0.7197  2 Ga 2.63-2.64, 1 Cd 2.81
Cd  0.0000  0.0000  0.0000  4 Te 2.81
Te  0.3860  0.8597  0.2803  2 Ga 2.63-2.64, 1 Cd 2.81
Ga  0.7500  0.2500  0.5000  4 Te 2.64
Te  0.1403  0.1056  0.7197  2 Ga 2.63-2.64, 1 Cd 2.81

Output
For the total DFT energy (no corrections), the calculation gives -30.69 eV per atom. The symmetry is No. 82. As for the magnetization: 0.0000 μB/atom. Its energy relative to the elements, uncorrected is -0.39 eV per atom.

***

Entry 3:
The following is a SCAN calculation of a PBEsol-optimized structure of Tl2CdGa2, from Alexandria.

abc: 4.7481 7.0305 7.0305
angles: 90.00 90.00 90.00
Closest atoms and distances in Å follow each position.
Positions (direct):
Ga  0.0000  0.6311  0.1311  1 Ga 2.61, 2 Cd 2.75
Tl  0.5000  0.1744  0.6744  6 Ga 3.06-3.22
Tl  0.5000  0.8256  0.3256  6 Ga 3.06-3.22
Tl  0.5000  0.3256  0.1744  6 Ga 3.06-3.22
Ga  0.0000  0.8689  0.6311  1 Ga 2.61, 2 Cd 2.75
Ga  0.0000  0.1311  0.3689  1 Ga 2.61, 2 Cd 2.75
Tl  0.5000  0.6744  0.8256  6 Ga 3.06-3.22
Ga  0.0000  0.3689  0.8689  1 Ga 2.61, 2 Cd 2.75
Cd  0.0000  0.5000  0.5000  4 Ga 2.75
Cd  0.0000  0.0000  0.0000  4 Ga 2.75

Output
For the total DFT energy (no corrections), the calculation gives -41.45 eV per atom. The symmetry is No. 127. As for the magnetization: 0.0000 μB/atom. The calculated formation energy comes out at 113 meV per atom.

***

Entry 4:
The following is a SCAN calculation of a PBEsol-optimized structure of TlCd2Ga2, from Alexandria.

abc: 3.0024 8.5300 8.5300
angles: 90.00 90.00 90.00
Closest atoms and distances in Å follow each position.
Positions (direct):
Tl  0.0000  0.5000  0.5000  2 Tl 3.00, 4 Cd 3.27
Ga  0.5000  0.3504  0.1496  6 Cd 2.88-2.94, 2 Ga 3.00
Ga  0.5000  0.8504  0.3504  6 Cd 2.88-2.94, 2 Ga 3.00
Ga  0.5000  0.1496  0.6496  6 Cd 2.88-2.94, 2 Ga 3.00
Cd  0.0000  0.6463  0.1463  6 Ga 2.88-2.94, 2 Cd 3.00
Tl  0.0000  0.0000  0.0000  2 Tl 3.00, 4 Cd 3.27
Ga  0.5000  0.6496  0.8504  6 Cd 2.88-2.94, 2 Ga 3.00
Cd  0.0000  0.8537  0.6463  6 Ga 2.88-2.94, 2 Cd 3.00
Cd  0.0000  0.3537  0.8537  6 Ga 2.88-2.94, 2 Cd 3.00
Cd  0.0000  0.1463  0.3537  6 Ga 2.88-2.94, 2 Cd 3.00

Output
For the total DFT energy (no corrections), the calculation gives -33.06 eV per atom. The symmetry is No. 127. As for the magnetization: 0.0000 μB/atom. The calculated formation energy comes out at 113 meV per atom.

***

Entry 5:
The following is a SCAN calculation of a PBEsol-optimized structure of TlCd2Ga2, from Alexandria.

abc: 4.0840 4.0840 7.2426
angles: 106.38 106.38 90.00
Closest atoms and distances in Å follow each position.
Positions (direct):
Tl  0.0000  0.0000  0.0000  8 Cd 3.21
Cd  0.6053  0.6053  0.2106  1 Cd 2.80, 4 Ga 2.80
Ga  0.7500  0.2500  0.5000  4 Cd 2.80, 4 Ga 2.89
Cd  0.3947  0.3947  0.7894  1 Cd 2.80, 4 Ga 2.80
Ga  0.2500  0.7500  0.5000  4 Cd 2.80, 4 Ga 2.89

Output
For the total DFT energy (no corrections), the calculation gives -33.09 eV per atom. The symmetry is No. 139. As for the magnetization: 0.0000 μB/atom. The calculated formation energy comes out at 85 meV per atom.

***

Entry 6:
The following is a SCAN calculation of a PBEsol-optimized structure of ZnCdGa2, from Alexandria.

abc: 4.6999 4.6999 4.6999
angles: 60.00 60.00 60.00
Closest atoms and distances in Å follow each position.
Positions (direct):
Zn  0.0000  0.0000  0.0000  8 Ga 2.88
Cd  0.5000  0.5000  0.5000  8 Ga 2.88
Ga  0.7500  0.7500  0.7500  4 Cd 2.88, 4 Zn 2.88
Ga  0.2500  0.2500  0.2500  4 Cd 2.88, 4 Zn 2.88

Output
For the total DFT energy (no corrections), the calculation gives -18.94 eV per atom. The symmetry is No. 225. As for the magnetization: 0.0000 μB/atom. The calculated formation energy comes out at 212 meV per atom.

***

- Look up the total DFT energy (no corrections) of the first one.
  -26.07 eV per atom